Computed, not measured: a relaxed BeOsIO2 crystal at the PBE level of DFT.

a = 3.616 Å, b = 3.616 Å, c = 6.057 Å
α = 90.00°, β = 90.00°, γ = 90.00°
Space group P4/mmm (No. 123)
Symmetry-distinct sites (fractional):
Be (0.000, 0.000, 0.000)
Os (0.500, 0.500, 0.500)
I (0.000, 0.000, 0.500)
O (0.000, 0.500, 0.000)

- energy relative to the elements, uncorrected (kJ/mol of atoms) = 55.43
- energy (eV/atom) = -4.71
- distance to the lowest polymorph of the same formula (meV per atom) = 736
- total magnetization (μB/cell) = 2.58